1.
Below is a geometry-optimized PaIO structure, with properties calculated at the GGA-PBE level.

a = 3.8703 Å, b = 3.8703 Å, c = 5.2136 Å
α = 90.00°, β = 90.00°, γ = 120.00°
Element x y z (fractional)
Pa  0.0000  0.0000  0.0000
I  0.6667  0.3333  0.5000
O  0.3333  0.6667  0.0000

Computed properties:
volume: 67.63 Å³ per cell
space-group type: No. 187
raw total energy: -21.98 eV per formula unit
formation energy without anion corrections: -1993 meV per atom

2.
Below is a geometry-optimized Zr3Sc4N8 structure, with properties calculated at the GGA-PBE level.

a = 17.9115 Å, b = 17.9115 Å, c = 17.9115 Å
α = 11.30°, β = 11.30°, γ = 11.30°
Element x y z (fractional)
Zr  0.0000  0.0000  0.0000
Zr  0.3847  0.3847  0.3847
Zr  0.6153  0.6153  0.6153
Sc  0.1454  0.1454  0.1454
Sc  0.2330  0.2330  0.2330
Sc  0.7670  0.7670  0.7670
Sc  0.8546  0.8546  0.8546
N  0.0629  0.0629  0.0629
N  0.1868  0.1868  0.1868
N  0.3122  0.3122  0.3122
N  0.4374  0.4374  0.4374
N  0.5626  0.5626  0.5626
N  0.6878  0.6878  0.6878
N  0.8132  0.8132  0.8132
N  0.9371  0.9371  0.9371

Computed properties:
volume: 191.82 Å³ per cell
space-group type: No. 166
raw total energy: -138.23 eV per formula unit
formation energy without anion corrections: -1377 meV per atom

3.
Below is a geometry-optimized Tb7ErAl5 structure, with properties calculated at the GGA-PBE level.

a = 8.0354 Å, b = 8.0354 Å, c = 8.0354 Å
α = 135.09°, β = 100.38°, γ = 96.41°
Element x y z (fractional)
Tb  0.0000  0.0000  0.0000
Tb  0.3201  0.6554  0.6647
Tb  0.3357  0.3357  0.0000
Tb  0.4388  0.9388  0.5000
Tb  0.4793  0.1713  0.3079
Tb  0.8634  0.1713  0.6921
Tb  0.9907  0.6554  0.3353
Er  0.6761  0.6761  0.0000
Al  0.1496  0.1566  0.4881
Al  0.1496  0.6616  0.9930
Al  0.6686  0.1566  0.0070
Al  0.6686  0.6616  0.5119
Al  0.9046  0.4046  0.5000

Computed properties:
volume: 338.23 Å³ per cell
space-group type: No. 44
raw total energy: -58.50 eV per formula unit
ΔE_f: -0.216 eV per atom

4.
Below is a geometry-optimized BaSmCdSn structure, with properties calculated at the GGA-PBE level.

a = 5.6862 Å, b = 5.6862 Å, c = 5.6862 Å
α = 60.00°, β = 60.00°, γ = 60.00°
Element x y z (fractional)
Ba  0.0000  0.0000  0.0000
Sm  0.5000  0.5000  0.5000
Cd  0.7500  0.7500  0.7500
Sn  0.2500  0.2500  0.2500

Computed properties:
volume: 130.00 Å³ per cell
space-group type: No. 216
raw total energy: -13.16 eV per formula unit
ΔE_f: -0.400 eV per atom

5.
Below is a geometry-optimized LaTbNdDy structure, with properties calculated at the GGA-PBE level.

a = 5.7824 Å, b = 5.7824 Å, c = 5.7824 Å
α = 60.00°, β = 60.00°, γ = 60.00°
Element x y z (fractional)
La  0.0000  0.0000  0.0000
Tb  0.7500  0.7500  0.7500
Nd  0.5000  0.5000  0.5000
Dy  0.2500  0.2500  0.2500

Computed properties:
E above lowest polymorph: 79 meV/atom
volume: 136.71 Å³ per cell
space-group type: No. 216
raw total energy: -18.50 eV per formula unit
ΔE_f: 0.107 eV per atom

6.
Below is a geometry-optimized LiV3Pb structure, with properties calculated at the GGA-PBE level.

a = 4.2686 Å, b = 4.2686 Å, c = 4.2686 Å
α = 90.00°, β = 90.00°, γ = 90.00°
Element x y z (fractional)
Li  0.0000  0.0000  0.0000
V  0.0000  0.0000  0.5000
V  0.0000  0.5000  0.0000
V  0.5000  0.0000  0.0000
Pb  0.5000  0.5000  0.5000

Computed properties:
volume: 77.78 Å³ per cell
space-group type: No. 221
raw total energy: -27.94 eV per formula unit
ΔE_f: 1.007 eV per atom

7.
Below is a geometry-optimized Ac4Al3HgO12 structure, with properties calculated at the GGA-PBE level.

a = 6.9237 Å, b = 6.9237 Å, c = 6.9237 Å
α = 109.47°, β = 109.47°, γ = 109.47°
Element x y z (fractional)
Ac  0.0000  0.0000  0.5000
Ac  0.0000  0.5000  0.0000
Ac  0.5000  0.0000  0.0000
Ac  0.5000  0.5000  0.5000
Al  0.0000  0.5000  0.5000
Al  0.5000  0.0000  0.5000
Al  0.5000  0.5000  0.0000
Hg  0.0000  0.0000  0.0000
O  0.0000  0.2729  0.2729
O  0.0000  0.7271  0.7271
O  0.2500  0.5000  0.7500
O  0.2500  0.7500  0.5000
O  0.2729  0.0000  0.2729
O  0.2729  0.2729  0.0000
O  0.5000  0.2500  0.7500
O  0.5000  0.7500  0.2500
O  0.7271  0.0000  0.7271
O  0.7271  0.7271  0.0000
O  0.7500  0.2500  0.5000
O  0.7500  0.5000  0.2500

Computed properties:
volume: 255.50 Å³ per cell
space-group type: No. 229
raw total energy: -142.55 eV per formula unit
formation energy without anion corrections: -2755 meV per atom